## KInBr2 (GGA-PBEsol)

Data for an optimized crystal structure of KInBr2.

```
data_KInBr2
_symmetry_space_group_name_H-M 'P 1'
_symmetry_Int_Tables_number 1
_cell_length_a 4.186
_cell_length_b 4.234
_cell_length_c 15.329
_cell_angle_alpha 90.00
_cell_angle_beta 90.00
_cell_angle_gamma 90.00
loop_
_symmetry_equiv_pos_as_xyz
'x,y,z'
loop_
_atom_site_label
_atom_site_type_symbol
_atom_site_fract_x
_atom_site_fract_y
_atom_site_fract_z
K1 K 0.000 0.000 0.000
K2 K 0.500 0.500 0.500
In1 In 0.000 0.500 0.748
In2 In 0.500 0.000 0.248
Br1 Br 0.000 0.000 0.585
Br2 Br 0.000 0.500 0.334
Br3 Br 0.500 0.000 0.834
Br4 Br 0.500 0.500 0.085
```

Summary:
Total DFT energy (no corrections) in Ry per atom: -0.2254
Space group: No. 44
Fermi-level density of states in states/eV/cell: 0.00
Offset from the most stable computed form in eV/atom: 0.050
Size of the total moment in μB per cell: 0.00